First-principles (PBE-GGA) data for a relaxed structure of Ti3Ga5Rh, as listed in Alexandria via LeMat-Bulk.

Cell: 7.6773 7.6773 7.6773 Å, 123.07 123.07 84.77°
Atoms (fractional coordinates):
Ti 0.1198 0.6198 0.7396
Ti 0.2500 0.2500 0.0000
Ti 0.3802 0.1198 0.5000
Ti 0.6198 0.8802 0.5000
Ti 0.7500 0.7500 0.0000
Ti 0.8802 0.3802 0.2604
Ga 0.0000 0.0000 0.0000
Ga 0.0535 0.1606 0.5000
Ga 0.1606 0.6606 0.1071
Ga 0.3394 0.4465 0.5000
Ga 0.4465 0.9465 0.1071
Ga 0.5000 0.5000 0.0000
Ga 0.5535 0.0535 0.8929
Ga 0.6606 0.5535 0.5000
Ga 0.8394 0.3394 0.8929
Ga 0.9465 0.8394 0.5000
Rh 0.2500 0.7500 0.5000
Rh 0.7500 0.2500 0.5000

First-principles (PBE-GGA) data for a relaxed structure of Ti6GaRh2, as listed in Alexandria via LeMat-Bulk.

Cell: 7.4186 7.4186 4.2039 Å, 106.39 106.39 48.90°
Atoms (fractional coordinates):
Ti 0.0812 0.5826 0.3320
Ti 0.2404 0.7596 0.0000
Ti 0.4174 0.9188 0.6680
Ti 0.5826 0.0812 0.3320
Ti 0.7596 0.2404 0.0000
Ti 0.9188 0.4174 0.6680
Ga 0.5000 0.5000 0.5000
Rh 0.1666 0.1666 0.1664
Rh 0.8334 0.8334 0.8336

Results
energy relative to the lowest polymorph listed for this composition: 61.1 meV per atom

First-principles (PBE-GGA) data for a relaxed structure of Ti2Ga6Rh, as listed in Alexandria via LeMat-Bulk.

Cell: 6.7626 6.7626 3.9682 Å, 90.00 90.00 126.33°
Atoms (fractional coordinates):
Ti 0.2190 0.7810 0.0000
Ti 0.7810 0.2190 0.0000
Ga 0.1431 0.4433 0.5000
Ga 0.2820 0.2820 0.0000
Ga 0.4433 0.1431 0.5000
Ga 0.5567 0.8569 0.5000
Ga 0.7180 0.7180 0.0000
Ga 0.8569 0.5567 0.5000
Rh 0.0000 0.0000 0.5000

First-principles (PBE-GGA) data for a relaxed structure of TiGa2Rh3, as listed in Alexandria via LeMat-Bulk.

Cell: 6.6476 6.6476 6.4667 Å, 90.00 90.00 143.04°
Atoms (fractional coordinates):
Ti 0.1602 0.8398 0.0000
Ti 0.8398 0.1602 0.0000
Ga 0.1703 0.8297 0.5000
Ga 0.5000 0.5000 0.0000
Ga 0.5000 0.5000 0.5000
Ga 0.8297 0.1703 0.5000
Rh 0.0000 0.0000 0.2601
Rh 0.0000 0.0000 0.7399
Rh 0.3326 0.6674 0.2474
Rh 0.3326 0.6674 0.7526
Rh 0.6674 0.3326 0.2474
Rh 0.6674 0.3326 0.7526

Results
energy relative to the lowest polymorph listed for this composition: 0.0 meV per atom

First-principles (PBE-GGA) data for a relaxed structure of Ti2Ga3Rh, as listed in Alexandria via LeMat-Bulk.

Cell: 2.9054 5.2217 13.2040 Å, 90.00 90.00 90.00°
Atoms (fractional coordinates):
Ti 0.0000 0.0000 0.1729
Ti 0.0000 0.0000 0.8271
Ti 0.5000 0.5000 0.3271
Ti 0.5000 0.5000 0.6729
Ga 0.0000 0.5000 0.1577
Ga 0.0000 0.5000 0.5000
Ga 0.0000 0.5000 0.8423
Ga 0.5000 0.0000 0.0000
Ga 0.5000 0.0000 0.3423
Ga 0.5000 0.0000 0.6577
Rh 0.0000 0.0000 0.5000
Rh 0.5000 0.5000 0.0000

First-principles (PBE-GGA) data for a relaxed structure of TiGa2Rh, as listed in Alexandria via LeMat-Bulk.

Cell: 4.2956 4.2956 12.2510 Å, 90.00 90.00 120.00°
Atoms (fractional coordinates):
Ti 0.0000 0.0000 0.0000
Ti 0.3333 0.6667 0.6667
Ti 0.6667 0.3333 0.3333
Ga 0.0000 0.0000 0.5680
Ga 0.0000 0.0000 0.7802
Ga 0.3333 0.6667 0.2347
Ga 0.3333 0.6667 0.4469
Ga 0.6667 0.3333 0.1135
Ga 0.6667 0.3333 0.9013
Rh 0.0000 0.0000 0.2067
Rh 0.3333 0.6667 0.8734
Rh 0.6667 0.3333 0.5400

First-principles (PBE-GGA) data for a relaxed structure of TiGa2Rh, as listed in Alexandria via LeMat-Bulk.

Cell: 3.9124 3.9124 3.9273 Å, 90.00 90.00 90.00°
Atoms (fractional coordinates):
Ti 0.0000 0.0000 0.0000
Ga 0.0000 0.5000 0.5000
Ga 0.5000 0.0000 0.5000
Rh 0.5000 0.5000 0.0000

First-principles (PBE-GGA) data for a relaxed structure of TiGa4Rh7, as listed in Alexandria via LeMat-Bulk.

Cell: 6.3709 6.3709 8.8290 Å, 124.13 124.13 41.09°
Atoms (fractional coordinates):
Ti 0.0000 0.0000 0.0000
Ga 0.2829 0.2829 0.6585
Ga 0.4182 0.4182 0.2170
Ga 0.5818 0.5818 0.7830
Ga 0.7171 0.7171 0.3415
Rh 0.0677 0.0677 0.3184
Rh 0.2153 0.2153 0.8705
Rh 0.3525 0.3525 0.4336
Rh 0.5000 0.5000 0.0000
Rh 0.6475 0.6475 0.5664
Rh 0.7847 0.7847 0.1295
Rh 0.9323 0.9323 0.6816

Calculated formation enthalpy at 0 K (eV/f.u.), listed in the same order as above: -1.47, -1.33, -3.28, -4.63, -1.16, -1.95, -2.09, -4.06
Calculated ρ (Mg/m³), listed in the same order as above: 6.507, 5.637, 7.008, 9.589, 6.761, 7.385, 8.017, 9.222
Calculated V (Å³/atom), listed in the same order as above: 16.9, 18.4, 16.2, 14.3, 16.7, 16.3, 15.0, 15.7